(1)
A geometry-optimized B2Pt2Pb structure, computed with PBE.

a = 7.4559 Å, b = 7.4559 Å, c = 2.9089 Å
α = 90.00°, β = 90.00°, γ = 90.00°
Fractional coordinates of all 10 atoms:
1 Pb 0.0000 0.0000 0.0000
2 Pb 0.5000 0.5000 0.0000
3 B 0.0932 0.5932 0.5000
4 B 0.5932 0.9068 0.5000
5 B 0.9068 0.4068 0.5000
6 B 0.4068 0.0932 0.5000
7 Pt 0.3684 0.8684 0.0000
8 Pt 0.8684 0.6316 0.0000
9 Pt 0.6316 0.1316 0.0000
10 Pt 0.1316 0.3684 0.0000

Summary:
Formation energy in meV per atom: 606.8

---

(2)
A geometry-optimized Sc2NbAs structure, computed with PBE.

a = 7.8601 Å, b = 7.8601 Å, c = 6.1823 Å
α = 50.53°, β = 50.53°, γ = 90.00°
Fractional coordinates of all 8 atoms:
1 Sc 0.5796 0.1250 0.2500
2 Sc 0.1704 0.6250 0.2500
3 Sc 0.3750 0.4204 0.7500
4 Sc 0.8750 0.8296 0.7500
5 Nb 0.0000 0.0000 0.0000
6 Nb 0.7500 0.2500 0.5000
7 As 0.5000 0.5000 0.0000
8 As 0.2500 0.7500 0.5000

Summary:
Formation energy in meV per atom: -46.6

---

(3)
A geometry-optimized Zn3Cl4 structure, computed with PBE.

a = 15.5337 Å, b = 15.5337 Å, c = 15.5337 Å
α = 168.21°, β = 168.21°, γ = 16.70°
Fractional coordinates of all 7 atoms:
1 Zn 0.0000 0.0000 0.0000
2 Zn 0.7158 0.7158 0.0000
3 Zn 0.2842 0.2842 0.0000
4 Cl 0.8297 0.8297 0.0000
5 Cl 0.1703 0.1703 0.0000
6 Cl 0.5491 0.5491 0.0000
7 Cl 0.4509 0.4509 0.0000

Summary:
Uncorrected formation energy in meV per atom: -426

---

(4)
A geometry-optimized CrTePt2 structure, computed with PBE.

a = 3.5382 Å, b = 3.5327 Å, c = 5.6116 Å
α = 90.00°, β = 90.00°, γ = 90.00°
Fractional coordinates of all 4 atoms:
1 Cr 0.5000 0.5000 0.7500
2 Pt 0.0000 0.0000 0.9848
3 Pt 0.0000 0.0000 0.5152
4 Te 0.5000 0.5000 0.2500

Summary:
Uncorrected formation energy in meV per atom: -3

---

(5)
A geometry-optimized RbCdBi3 structure, computed with PBE.

a = 7.1518 Å, b = 7.2022 Å, c = 7.0642 Å
α = 90.00°, β = 89.99°, γ = 90.00°
Fractional coordinates of all 10 atoms:
1 Rb 0.4656 0.4238 0.7007
2 Rb 0.9656 0.9290 0.2009
3 Cd 0.1255 0.7886 0.7007
4 Cd 0.6256 0.5643 0.2007
5 Bi 0.3289 0.2645 0.2008
6 Bi 0.4790 0.9105 0.9517
7 Bi 0.9790 0.4423 0.4517
8 Bi 0.8288 0.0883 0.7009
9 Bi 0.9791 0.4423 0.9499
10 Bi 0.4790 0.9105 0.4499

Summary:
Formation energy in meV per atom: -127.8

---

(6)
A geometry-optimized Na2HgPbF6 structure, computed with PBE.

a = 6.1258 Å, b = 6.1691 Å, c = 8.8023 Å
α = 90.00°, β = 90.69°, γ = 90.00°
Fractional coordinates of all 20 atoms:
1 Na 0.9915 0.9581 0.2295
2 Na 0.4915 0.5419 0.7295
3 Na 0.0085 0.0419 0.7705
4 Na 0.5085 0.4581 0.2705
5 Hg 0.5000 0.0000 0.5000
6 Hg 0.0000 0.5000 0.0000
7 Pb 0.5000 0.0000 0.0000
8 Pb 0.0000 0.5000 0.5000
9 F 0.3163 0.6709 0.0957
10 F 0.8163 0.8291 0.5957
11 F 0.6837 0.3291 0.9043
12 F 0.1837 0.1709 0.4043
13 F 0.3505 0.6706 0.4492
14 F 0.8505 0.8294 0.9492
15 F 0.6495 0.3294 0.5508
16 F 0.1495 0.1706 0.0508
17 F 0.8551 0.6055 0.2490
18 F 0.3551 0.8945 0.7490
19 F 0.1449 0.3945 0.7510
20 F 0.6449 0.1055 0.2510

Summary:
Uncorrected formation energy in meV per atom: -2217

---

(7)
A geometry-optimized HfMgZn2Cd structure, computed with PBE.

a = 4.8115 Å, b = 4.9642 Å, c = 4.8115 Å
α = 90.00°, β = 90.00°, γ = 90.00°
Fractional coordinates of all 5 atoms:
1 Zn 0.0000 0.0000 0.5000
2 Zn 0.5000 0.0000 0.0000
3 Hf 0.5000 0.5000 0.5000
4 Mg 0.0000 0.5000 0.0000
5 Cd 0.0000 0.0000 0.0000

Summary:
Formation energy in meV per atom: 779.9

---

(8)
A geometry-optimized TaRhAu2 structure, computed with PBE.

a = 4.9835 Å, b = 4.9835 Å, c = 4.9835 Å
α = 132.40°, β = 132.37°, γ = 69.62°
Fractional coordinates of all 4 atoms:
1 Rh 0.4999 0.4999 0.0000
2 Au 0.0000 0.0000 0.0000
3 Au 0.7500 0.2500 0.5000
4 Ta 0.2501 0.7501 0.5000

Summary:
Formation energy in meV per atom: -192.7

---

- Which formula does entry 7 have?
  HfMgZn2Cd